(1)
YZrRe2 | GGA-PBE | relaxed

Results
**V**: 20.4 A^3/atom
**Density**: 11.23 g/cm³
**ΔE to the lowest computed polymorph**: 783 meV/atom
**SG**: No. 122
**Calculated formation energy**: 3.15 eV/f.u.
**Total DFT energy (no corrections)**: -73.52 eV/cell
**Fermi-level density of states**: 1.961 states/eV/atom

a = 7.6149 Å, b = 7.6149 Å, c = 6.0776 Å
α = 51.21°, β = 51.21°, γ = 90.00°
Fractional coordinates of all 8 atoms:
Re1 0.6414 0.1250 0.2500
Re2 0.8750 0.8914 0.7500
Re3 0.1086 0.6250 0.2500
Re4 0.3750 0.3586 0.7500
Zr1 0.0000 0.0000 0.0000
Zr2 0.7500 0.2500 0.5000
Y1 0.5000 0.5000 0.0000
Y2 0.2500 0.7500 0.5000

---

(2)
KRhOF2 | GGA-PBE | relaxed

Results
**V**: 20.2 A^3/atom
**Density**: 3.22 g/cm³
**ΔE to the lowest computed polymorph**: 1672 meV/atom
**SG**: No. 123
**Total DFT energy (no corrections)**: -16.75 eV/cell
**Fermi-level density of states**: 1.000 states/eV/atom
**ΔE_f (raw)**: 0.396 eV per formula unit

a = 4.6584 Å, b = 4.6584 Å, c = 4.6640 Å
α = 90.00°, β = 90.00°, γ = 90.00°
Fractional coordinates of all 5 atoms:
F1 0.5000 0.0000 0.0000
F2 0.0000 0.5000 0.0000
K1 0.0000 0.0000 0.0000
Rh1 0.5000 0.5000 0.5000
O1 0.0000 0.0000 0.5000

---

(3)
HoTc2C2 | GGA-PBE | relaxed

Results
**V**: 13.7 A^3/atom
**Density**: 9.32 g/cm³
**SG**: No. 15
**Calculated formation energy**: -0.82 eV/f.u.
**Total DFT energy (no corrections)**: -89.16 eV/cell
**Fermi-level density of states**: 0.353 states/eV/atom

a = 5.5252 Å, b = 5.5252 Å, c = 5.5228 Å
α = 109.87°, β = 109.87°, γ = 103.35°
Fractional coordinates of all 10 atoms:
Ho1 0.1267 0.3733 0.2500
Ho2 0.8733 0.6267 0.7500
Tc1 0.7701 0.0369 0.5333
Tc2 0.2299 0.9630 0.4667
Tc3 0.4630 0.7299 0.9667
Tc4 0.5370 0.2701 0.0333
C1 0.4238 0.0762 0.2500
C2 0.8157 0.6843 0.2500
C3 0.5762 0.9238 0.7500
C4 0.1843 0.3157 0.7500

---

(4)
TiInPb2F | GGA-PBE | relaxed

Results
**V**: 28.2 A^3/atom
**Density**: 7.03 g/cm³
**SG**: No. 123
**Total DFT energy (no corrections)**: -19.27 eV/cell
**Fermi-level density of states**: 1.113 states/eV/atom
**ΔE_f (raw)**: 0.651 eV per formula unit

a = 5.8057 Å, b = 4.1798 Å, c = 5.8057 Å
α = 90.00°, β = 90.00°, γ = 90.00°
Fractional coordinates of all 5 atoms:
Pb1 0.0000 0.0000 0.5000
Pb2 0.5000 0.0000 0.0000
Ti1 0.5000 0.5000 0.5000
F1 0.0000 0.5000 0.0000
In1 0.0000 0.0000 0.0000

---

(5)
AlCo3W | GGA-PBE | relaxed

Results
**V**: 14.1 A^3/atom
**Density**: 9.13 g/cm³
**ΔE to the lowest computed polymorph**: 0 meV/atom
**SG**: No. 221
**Calculated formation energy**: 5.67 eV/f.u.
**Total DFT energy (no corrections)**: -32.34 eV/cell
**Fermi-level density of states**: 0.652 states/eV/atom

a = 4.1306 Å, b = 4.1306 Å, c = 4.1306 Å
α = 90.00°, β = 90.00°, γ = 90.00°
Fractional coordinates of all 5 atoms:
Co1 0.0000 0.5000 0.0000
Co2 0.5000 0.0000 0.0000
Co3 0.0000 0.0000 0.5000
W1 0.5000 0.5000 0.5000
Al1 0.0000 0.0000 0.0000

---

(6)
YHoCd5 | GGA-PBE | relaxed

Results
**V**: 26.0 A^3/atom
**Density**: 7.45 g/cm³
**SG**: No. 123
**Calculated formation energy**: -0.66 eV/f.u.
**Total DFT energy (no corrections)**: -16.28 eV/cell
**Fermi-level density of states**: 0.663 states/eV/atom

a = 5.1116 Å, b = 5.1116 Å, c = 6.9567 Å
α = 90.00°, β = 90.00°, γ = 90.00°
Fractional coordinates of all 7 atoms:
Cd1 0.0000 0.5000 0.2326
Cd2 0.5000 0.0000 0.2326
Cd3 0.5000 0.0000 0.7674
Cd4 0.5000 0.5000 0.5000
Cd5 0.0000 0.5000 0.7674
Y1 0.0000 0.0000 0.5000
Ho1 0.5000 0.5000 0.0000

---

(7)
PbW2I | GGA-PBE | relaxed

Results
**V**: 23.9 A^3/atom
**Density**: 12.18 g/cm³
**ΔE to the lowest computed polymorph**: 73 meV/atom
**SG**: No. 122
**Total DFT energy (no corrections)**: -49.86 eV/cell
**Fermi-level density of states**: 1.231 states/eV/atom
**ΔE_f (raw)**: 6.236 eV per formula unit

a = 4.4970 Å, b = 4.4970 Å, c = 9.9837 Å
α = 76.98°, β = 76.98°, γ = 90.00°
Fractional coordinates of all 8 atoms:
I1 0.5000 0.5000 0.0000
I2 0.2500 0.7500 0.5000
W1 0.8750 0.7877 0.7500
W2 0.2123 0.6250 0.2500
W3 0.5377 0.1250 0.2500
W4 0.3750 0.4623 0.7500
Pb1 0.0000 0.0000 0.0000
Pb2 0.7500 0.2500 0.5000

---

(8)
LaSm6S8 | GGA-PBE | relaxed

Results
**V**: 33.3 A^3/atom
**Density**: 4.32 g/cm³
**ΔE to the lowest computed polymorph**: 371 meV/atom
**SG**: No. 148
**Total DFT energy (no corrections)**: -91.40 eV/cell
**Fermi-level density of states**: 0.617 states/eV/atom
**ΔE_f (raw)**: -25.136 eV per formula unit

a = 7.9974 Å, b = 7.9974 Å, c = 7.9974 Å
α = 96.98°, β = 96.98°, γ = 96.98°
Fractional coordinates of all 15 atoms:
S1 0.1548 0.6621 0.4216
S2 0.7727 0.7727 0.7727
S3 0.3379 0.5784 0.8452
S4 0.4216 0.1548 0.6621
S5 0.8452 0.3379 0.5784
S6 0.2273 0.2273 0.2273
S7 0.5784 0.8452 0.3379
S8 0.6621 0.4216 0.1548
Sm1 0.4404 0.8154 0.6419
Sm2 0.3581 0.5596 0.1846
Sm3 0.8154 0.6419 0.4404
Sm4 0.1846 0.3581 0.5596
Sm5 0.5596 0.1846 0.3581
Sm6 0.6419 0.4404 0.8154
La1 0.0000 0.0000 0.0000

---

(9)
InTcBr3 | GGA-PBE | relaxed

Results
**V**: 29.3 A^3/atom
**Density**: 5.13 g/cm³
**ΔE to the lowest computed polymorph**: 0 meV/atom
**SG**: No. 221
**Total DFT energy (no corrections)**: -18.70 eV/cell
**Fermi-level density of states**: 0.543 states/eV/atom
**ΔE_f (raw)**: -0.580 eV per formula unit

a = 5.2698 Å, b = 5.2698 Å, c = 5.2698 Å
α = 90.00°, β = 90.00°, γ = 90.00°
Fractional coordinates of all 5 atoms:
Tc1 0.0000 0.0000 0.0000
Br1 0.0000 0.0000 0.5000
Br2 0.0000 0.5000 0.0000
Br3 0.5000 0.0000 0.0000
In1 0.5000 0.5000 0.5000

---

(10)
ErCrN3 | GGA-PBE | relaxed

Results
**V**: 13.2 A^3/atom
**Density**: 6.58 g/cm³
**SG**: No. 15
**Total DFT energy (no corrections)**: -173.66 eV/cell
**ΔE_f (raw)**: -4.252 eV per formula unit

a = 5.8479 Å, b = 6.9119 Å, c = 6.9119 Å
α = 84.31°, β = 76.41°, γ = 76.41°
Fractional coordinates of all 20 atoms:
Cr1 0.2486 0.3804 0.1995
Cr2 0.2514 0.8005 0.6196
Cr3 0.7514 0.6196 0.8005
Cr4 0.7486 0.1995 0.3804
N1 0.0091 0.6710 0.6215
N2 0.1569 0.9997 0.7710
N3 0.1479 0.6111 0.1228
N4 0.5091 0.6215 0.6710
N5 0.9909 0.3290 0.3785
N6 0.8521 0.3889 0.8772
N7 0.6569 0.7710 0.9997
N8 0.8431 0.0003 0.2290
N9 0.3431 0.2290 0.0003
N10 0.4909 0.3785 0.3290
N11 0.3521 0.8772 0.3889
N12 0.6479 0.1228 0.6111
Er1 0.7500 0.0888 0.9112
Er2 0.7500 0.6725 0.3275
Er3 0.2500 0.3275 0.6725
Er4 0.2500 0.9112 0.0888

---

(11)
SmTmAlAg | GGA-PBE | relaxed

Results
**V**: 24.5 A^3/atom
**Density**: 7.69 g/cm³
**ΔE to the lowest computed polymorph**: 30 meV/atom
**SG**: No. 216
**Calculated formation energy**: -1.30 eV/f.u.
**Total DFT energy (no corrections)**: -17.08 eV/cell
**Fermi-level density of states**: 0.925 states/eV/atom

a = 5.1764 Å, b = 5.1764 Å, c = 5.1764 Å
α = 60.00°, β = 60.00°, γ = 60.00°
Fractional coordinates of all 4 atoms:
Al1 0.7500 0.7500 0.7500
Ag1 0.2500 0.2500 0.2500
Sm1 0.5000 0.5000 0.5000
Tm1 0.0000 0.0000 0.0000

---

(12)
GaSbSeN2 | GGA-PBE | relaxed

Results
**V**: 18.5 A^3/atom
**Density**: 5.36 g/cm³
**ΔE to the lowest computed polymorph**: 0 meV/atom
**SG**: No. 123
**Total DFT energy (no corrections)**: -22.04 eV/cell
**Fermi-level density of states**: 0.261 states/eV/atom
**ΔE_f (raw)**: 5.243 eV per formula unit

a = 4.0025 Å, b = 4.0025 Å, c = 5.7740 Å
α = 90.00°, β = 90.00°, γ = 90.00°
Fractional coordinates of all 5 atoms:
Se1 0.0000 0.0000 0.5000
Ga1 0.5000 0.5000 0.5000
N1 0.5000 0.0000 0.0000
N2 0.0000 0.5000 0.0000
Sb1 0.0000 0.0000 0.0000

---

(13)
SrAsSe2S | GGA-PBE | relaxed

Results
**V**: 24.9 A^3/atom
**Density**: 4.71 g/cm³
**ΔE to the lowest computed polymorph**: 0 meV/atom
**SG**: No. 123
**Total DFT energy (no corrections)**: -19.04 eV/cell
**Fermi-level density of states**: 1.126 states/eV/atom
**ΔE_f (raw)**: -1.612 eV per formula unit

a = 5.0410 Å, b = 5.0410 Å, c = 4.8926 Å
α = 90.00°, β = 90.00°, γ = 90.00°
Fractional coordinates of all 5 atoms:
Se1 0.5000 0.0000 0.0000
Se2 0.0000 0.5000 0.0000
Sr1 0.5000 0.5000 0.5000
As1 0.0000 0.0000 0.5000
S1 0.0000 0.0000 0.0000

---

(14)
PrTlH8Rh2 | GGA-PBE | relaxed

Results
**V**: 10.7 A^3/atom
**Density**: 7.24 g/cm³
**SG**: No. 148
**Total DFT energy (no corrections)**: -49.28 eV/cell
**Fermi-level density of states**: 0.315 states/eV/atom

a = 5.1330 Å, b = 5.1330 Å, c = 6.3558 Å
α = 66.18°, β = 66.18°, γ = 60.00°
Fractional coordinates of all 12 atoms:
H1 0.8051 0.8051 0.5847
H2 0.1949 0.1949 0.4153
H3 0.5238 0.5284 0.8476
H4 0.4716 0.8998 0.1524
H5 0.5284 0.1002 0.8476
H6 0.8998 0.4762 0.1524
H7 0.4762 0.4716 0.1524
H8 0.1002 0.5238 0.8476
Rh1 0.7052 0.7052 0.8845
Rh2 0.2948 0.2948 0.1155
Tl1 0.0000 0.0000 0.0000
Pr1 0.5000 0.5000 0.5000

---

(15)
Mg2AgPd6 | GGA-PBE | relaxed

Results
**V**: 15.9 A^3/atom
**Density**: 9.23 g/cm³
**ΔE to the lowest computed polymorph**: 0 meV/atom
**SG**: No. 136
**Calculated formation energy**: -3.75 eV/f.u.
**Total DFT energy (no corrections)**: -81.90 eV/cell
**Fermi-level density of states**: 0.324 states/eV/atom

a = 4.0966 Å, b = 8.3575 Å, c = 8.3575 Å
α = 90.00°, β = 90.00°, γ = 90.00°
Fractional coordinates of all 18 atoms:
Mg1 0.0000 0.3233 0.8232
Mg2 0.5000 0.1767 0.3232
Mg3 0.0000 0.6767 0.1768
Mg4 0.5000 0.8233 0.6768
Pd1 0.0000 0.6606 0.8395
Pd2 0.0000 0.9944 0.8349
Pd3 0.5000 0.8394 0.3395
Pd4 0.5000 0.4944 0.6651
Pd5 0.0000 0.3394 0.1605
Pd6 0.0000 0.6651 0.5057
Pd7 0.0000 0.0056 0.1651
Pd8 0.5000 0.5056 0.3349
Pd9 0.5000 0.1651 0.9943
Pd10 0.5000 0.1606 0.6605
Pd11 0.5000 0.8349 0.0057
Pd12 0.0000 0.3349 0.4943
Ag1 0.0000 0.0000 0.5000
Ag2 0.5000 0.5000 0.0000

---

(16)
P2OsPb | GGA-PBE | relaxed

Results
**V**: 17.5 A^3/atom
**Density**: 10.88 g/cm³
**SG**: No. 47
**Calculated formation energy**: 4.22 eV/f.u.
**Total DFT energy (no corrections)**: -21.53 eV/cell
**Fermi-level density of states**: 0.833 states/eV/atom

a = 3.2413 Å, b = 4.6076 Å, c = 4.6963 Å
α = 90.00°, β = 90.00°, γ = 90.00°
Fractional coordinates of all 4 atoms:
P1 0.0000 0.0000 0.0000
P2 0.5000 0.5000 0.0000
Pb1 0.5000 0.0000 0.5000
Os1 0.0000 0.5000 0.5000